1.
Tm5Bi5C | PBE-GGA | optimized geometry

Summary:
For the density, the calculation gives 10053 kg/m3. The density of states at the Fermi level comes out at 4.1 states/eV/cell. Its space-group type is No. 12. For the formation energy, the calculation gives -0.446 eV/atom.

```
data_Tm5Bi5C
_symmetry_space_group_name_H-M 'P 1'
_symmetry_Int_Tables_number 1
_symmetry_space_group_name_Hall 'P 1'
_cell_length_a 7.0734
_cell_length_b 7.0734
_cell_length_c 9.1081
_cell_angle_alpha 113.47
_cell_angle_beta 113.47
_cell_angle_gamma 50.12
loop_
_atom_site_label
_atom_site_type_symbol
_atom_site_fract_x
_atom_site_fract_y
_atom_site_fract_z
Tm1 Tm 0.0000 0.0000 0.0000
Tm2 Tm 0.3505 0.3505 0.7254
Tm3 Tm 0.3544 0.3544 0.1004
Tm4 Tm 0.6456 0.6456 0.8996
Tm5 Tm 0.6495 0.6495 0.2746
Bi1 Bi 0.1143 0.1143 0.7617
Bi2 Bi 0.2143 0.2143 0.3363
Bi3 Bi 0.5000 0.5000 0.5000
Bi4 Bi 0.7857 0.7857 0.6637
Bi5 Bi 0.8857 0.8857 0.2383
C1 C 0.5000 0.5000 0.0000
```

***

2.
Tm8Bi3C4 | PBE-GGA | optimized geometry

Summary:
For the density, the calculation gives 9346 kg/m3. The density of states at the Fermi level comes out at 7.7 states/eV/cell. Its space-group type is No. 12. For the formation energy, the calculation gives -0.042 eV/atom.

```
data_Tm8Bi3C4
_symmetry_space_group_name_H-M 'P 1'
_symmetry_Int_Tables_number 1
_symmetry_space_group_name_Hall 'P 1'
_cell_length_a 7.9599
_cell_length_b 7.9599
_cell_length_c 7.6091
_cell_angle_alpha 118.21
_cell_angle_beta 118.21
_cell_angle_gamma 89.38
loop_
_atom_site_label
_atom_site_type_symbol
_atom_site_fract_x
_atom_site_fract_y
_atom_site_fract_z
Tm1 Tm 0.1826 0.1826 0.4248
Tm2 Tm 0.2066 0.2066 0.9577
Tm3 Tm 0.2230 0.7770 0.0000
Tm4 Tm 0.2239 0.7761 0.5000
Tm5 Tm 0.7761 0.2239 0.5000
Tm6 Tm 0.7770 0.2230 0.0000
Tm7 Tm 0.7934 0.7934 0.0423
Tm8 Tm 0.8174 0.8174 0.5752
Bi1 Bi 0.0000 0.5000 0.5000
Bi2 Bi 0.5000 0.0000 0.5000
Bi3 Bi 0.5000 0.5000 0.5000
C1 C 0.0000 0.0000 0.0000
C2 C 0.0000 0.0000 0.5000
C3 C 0.0000 0.5000 0.0000
C4 C 0.5000 0.0000 0.0000
```

***

3.
Tm3BiC2 | PBE-GGA | optimized geometry

Summary:
For the density, the calculation gives 9801 kg/m3. The density of states at the Fermi level comes out at 4.4 states/eV/cell. Its space-group type is No. 11. For the formation energy, the calculation gives -0.213 eV/atom.

```
data_Tm3BiC2
_symmetry_space_group_name_H-M 'P 1'
_symmetry_Int_Tables_number 1
_symmetry_space_group_name_Hall 'P 1'
_cell_length_a 6.4581
_cell_length_b 3.6218
_cell_length_c 10.9677
_cell_angle_alpha 90.00
_cell_angle_beta 102.24
_cell_angle_gamma 90.00
loop_
_atom_site_label
_atom_site_type_symbol
_atom_site_fract_x
_atom_site_fract_y
_atom_site_fract_z
Tm1 Tm 0.0362 0.2500 0.3710
Tm2 Tm 0.1972 0.7500 0.0852
Tm3 Tm 0.4474 0.2500 0.6090
Tm4 Tm 0.5526 0.7500 0.3910
Tm5 Tm 0.8028 0.2500 0.9148
Tm6 Tm 0.9638 0.7500 0.6290
Bi1 Bi 0.2702 0.2500 0.8490
Bi2 Bi 0.7298 0.7500 0.1510
C1 C 0.0118 0.2500 0.1415
C2 C 0.2517 0.7500 0.4920
C3 C 0.7483 0.2500 0.5080
C4 C 0.9882 0.7500 0.8585
```

***

4.
Tm7Bi3C2 | PBE-GGA | optimized geometry

Summary:
For the density, the calculation gives 10582 kg/m3. The density of states at the Fermi level comes out at 7.9 states/eV/cell. Its space-group type is No. 65. For the formation energy, the calculation gives -0.567 eV/atom.

```
data_Tm7Bi3C2
_symmetry_space_group_name_H-M 'P 1'
_symmetry_Int_Tables_number 1
_symmetry_space_group_name_Hall 'P 1'
_cell_length_a 12.6356
_cell_length_b 12.6356
_cell_length_c 4.7887
_cell_angle_alpha 90.00
_cell_angle_beta 90.00
_cell_angle_gamma 157.89
loop_
_atom_site_label
_atom_site_type_symbol
_atom_site_fract_x
_atom_site_fract_y
_atom_site_fract_z
Tm1 Tm 0.0000 0.0000 0.0000
Tm2 Tm 0.0965 0.9035 0.5000
Tm3 Tm 0.1946 0.8054 0.0000
Tm4 Tm 0.4038 0.5962 0.0000
Tm5 Tm 0.5962 0.4038 0.0000
Tm6 Tm 0.8054 0.1946 0.0000
Tm7 Tm 0.9035 0.0965 0.5000
Bi1 Bi 0.3103 0.6897 0.5000
Bi2 Bi 0.5000 0.5000 0.5000
Bi3 Bi 0.6897 0.3103 0.5000
C1 C 0.0991 0.9009 0.0000
C2 C 0.9009 0.0991 0.0000
```

***

5.
Tm6Bi2C | PBE-GGA | optimized geometry

Summary:
For the density, the calculation gives 10439 kg/m3. The density of states at the Fermi level comes out at 9.4 states/eV/cell. Its space-group type is No. 139. For the formation energy, the calculation gives -0.402 eV/atom. The calculation puts the energy relative to the lowest polymorph listed for this composition at 0.19 eV/f.u.

```
data_Tm6Bi2C
_symmetry_space_group_name_H-M 'P 1'
_symmetry_Int_Tables_number 1
_symmetry_space_group_name_Hall 'P 1'
_cell_length_a 6.8654
_cell_length_b 6.8654
_cell_length_c 6.8654
_cell_angle_alpha 119.76
_cell_angle_beta 119.76
_cell_angle_gamma 90.41
loop_
_atom_site_label
_atom_site_type_symbol
_atom_site_fract_x
_atom_site_fract_y
_atom_site_fract_z
Tm1 Tm 0.2462 0.2462 0.4924
Tm2 Tm 0.2462 0.7538 0.0000
Tm3 Tm 0.2472 0.2472 0.0000
Tm4 Tm 0.7528 0.7528 0.0000
Tm5 Tm 0.7538 0.2462 0.0000
Tm6 Tm 0.7538 0.7538 0.5076
Bi1 Bi 0.2500 0.7500 0.5000
Bi2 Bi 0.7500 0.2500 0.5000
C1 C 0.0000 0.0000 0.0000
```

***

6.
Tm8BiC4 | PBE-GGA | optimized geometry

Summary:
For the density, the calculation gives 8605 kg/m3. The density of states at the Fermi level comes out at 9.9 states/eV/cell. Its space-group type is No. 166. For the formation energy, the calculation gives -0.339 eV/atom. The calculation puts the energy relative to the lowest polymorph listed for this composition at 0.60 eV/f.u.

```
data_Tm8BiC4
_symmetry_space_group_name_H-M 'P 1'
_symmetry_Int_Tables_number 1
_symmetry_space_group_name_Hall 'P 1'
_cell_length_a 8.0782
_cell_length_b 8.0782
_cell_length_c 8.0782
_cell_angle_alpha 52.86
_cell_angle_beta 52.86
_cell_angle_gamma 52.86
loop_
_atom_site_label
_atom_site_type_symbol
_atom_site_fract_x
_atom_site_fract_y
_atom_site_fract_z
Tm1 Tm 0.2302 0.7270 0.7270
Tm2 Tm 0.2307 0.2307 0.2307
Tm3 Tm 0.2730 0.2730 0.7698
Tm4 Tm 0.2730 0.7698 0.2730
Tm5 Tm 0.7270 0.2302 0.7270
Tm6 Tm 0.7270 0.7270 0.2302
Tm7 Tm 0.7693 0.7693 0.7693
Tm8 Tm 0.7698 0.2730 0.2730
Bi1 Bi 0.0000 0.0000 0.0000
C1 C 0.0000 0.0000 0.5000
C2 C 0.0000 0.5000 0.0000
C3 C 0.5000 0.0000 0.0000
C4 C 0.5000 0.5000 0.5000
```

***

7.
Tm5Bi2C | PBE-GGA | optimized geometry

Summary:
For the density, the calculation gives 8328 kg/m3. The density of states at the Fermi level comes out at 13.6 states/eV/cell. Its space-group type is No. 63. For the formation energy, the calculation gives -0.135 eV/atom.

```
data_Tm5Bi2C
_symmetry_space_group_name_H-M 'P 1'
_symmetry_Int_Tables_number 1
_symmetry_space_group_name_Hall 'P 1'
_cell_length_a 8.3484
_cell_length_b 8.3484
_cell_length_c 12.9521
_cell_angle_alpha 90.00
_cell_angle_beta 90.00
_cell_angle_gamma 145.73
loop_
_atom_site_label
_atom_site_type_symbol
_atom_site_fract_x
_atom_site_fract_y
_atom_site_fract_z
Tm1 Tm 0.0885 0.9115 0.6258
Tm2 Tm 0.0885 0.9115 0.8742
Tm3 Tm 0.2853 0.7147 0.2500
Tm4 Tm 0.2862 0.7138 0.5810
Tm5 Tm 0.2862 0.7138 0.9190
Tm6 Tm 0.7138 0.2862 0.0810
Tm7 Tm 0.7138 0.2862 0.4190
Tm8 Tm 0.7147 0.2853 0.7500
Tm9 Tm 0.9115 0.0885 0.1258
Tm10 Tm 0.9115 0.0885 0.3742
Bi1 Bi 0.1096 0.8904 0.1135
Bi2 Bi 0.1096 0.8904 0.3865
Bi3 Bi 0.8904 0.1096 0.6135
Bi4 Bi 0.8904 0.1096 0.8865
C1 C 0.1948 0.8052 0.7500
C2 C 0.8052 0.1948 0.2500
```

***

8.
Tm5Bi4C | PBE-GGA | optimized geometry

Summary:
For the density, the calculation gives 10141 kg/m3. The density of states at the Fermi level comes out at 3.3 states/eV/cell. Its space-group type is No. 79. For the formation energy, the calculation gives -0.589 eV/atom.

```
data_Tm5Bi4C
_symmetry_space_group_name_H-M 'P 1'
_symmetry_Int_Tables_number 1
_symmetry_space_group_name_Hall 'P 1'
_cell_length_a 7.3740
_cell_length_b 7.3740
_cell_length_c 7.3740
_cell_angle_alpha 100.13
_cell_angle_beta 100.13
_cell_angle_gamma 130.41
loop_
_atom_site_label
_atom_site_type_symbol
_atom_site_fract_x
_atom_site_fract_y
_atom_site_fract_z
Tm1 Tm 0.0000 0.0000 0.0000
Tm2 Tm 0.3281 0.6650 0.8519
Tm3 Tm 0.4762 0.3281 0.6631
Tm4 Tm 0.6650 0.8131 0.3369
Tm5 Tm 0.8131 0.4762 0.1481
Bi1 Bi 0.1548 0.3879 0.3940
Bi2 Bi 0.3879 0.9939 0.2331
Bi3 Bi 0.7608 0.1548 0.7669
Bi4 Bi 0.9939 0.7608 0.6060
C1 C 0.6177 0.6177 0.0000
```

***

9.
Tm5Bi2C2 | PBE-GGA | optimized geometry

Summary:
For the density, the calculation gives 9373 kg/m3. The density of states at the Fermi level comes out at 2.8 states/eV/cell. Its space-group type is No. 12. For the formation energy, the calculation gives -0.393 eV/atom.

```
data_Tm5Bi2C2
_symmetry_space_group_name_H-M 'P 1'
_symmetry_Int_Tables_number 1
_symmetry_space_group_name_Hall 'P 1'
_cell_length_a 7.0267
_cell_length_b 7.0267
_cell_length_c 7.2767
_cell_angle_alpha 104.76
_cell_angle_beta 104.76
_cell_angle_gamma 41.25
loop_
_atom_site_label
_atom_site_type_symbol
_atom_site_fract_x
_atom_site_fract_y
_atom_site_fract_z
Tm1 Tm 0.0000 0.0000 0.0000
Tm2 Tm 0.1558 0.1558 0.5899
Tm3 Tm 0.3327 0.3327 0.0720
Tm4 Tm 0.6673 0.6673 0.9280
Tm5 Tm 0.8442 0.8442 0.4101
Bi1 Bi 0.4090 0.4090 0.6848
Bi2 Bi 0.5910 0.5910 0.3152
C1 C 0.1572 0.1572 0.8937
C2 C 0.8428 0.8428 0.1063
```

***

10.
Tm4BiC | PBE-GGA | optimized geometry

Summary:
For the density, the calculation gives 9005 kg/m3. The density of states at the Fermi level comes out at 3.8 states/eV/cell. Its space-group type is No. 65. For the formation energy, the calculation gives -0.247 eV/atom.

```
data_Tm4BiC
_symmetry_space_group_name_H-M 'P 1'
_symmetry_Int_Tables_number 1
_symmetry_space_group_name_Hall 'P 1'
_cell_length_a 6.8304
_cell_length_b 6.8304
_cell_length_c 3.6941
_cell_angle_alpha 90.00
_cell_angle_beta 90.00
_cell_angle_gamma 106.37
loop_
_atom_site_label
_atom_site_type_symbol
_atom_site_fract_x
_atom_site_fract_y
_atom_site_fract_z
Tm1 Tm 0.1970 0.1970 0.5000
Tm2 Tm 0.2180 0.7820 0.0000
Tm3 Tm 0.7820 0.2180 0.0000
Tm4 Tm 0.8030 0.8030 0.5000
Bi1 Bi 0.5000 0.5000 0.0000
C1 C 0.0000 0.0000 0.0000
```